1.
! HfAg3C, relaxed, DFT PBE; values from VASP
&SYSTEM
  ibrav = 0, nat = 5, ntyp = 3
/
ATOMIC_SPECIES
C 12.01 C.upf
Hf 178.49 Hf.upf
Ag 107.87 Ag.upf
ATOMIC_POSITIONS crystal
C 0.000 0.000 0.000
Hf 0.500 0.500 0.500
Ag 0.000 0.500 0.000
Ag 0.000 0.000 0.500
Ag 0.500 0.000 0.000
CELL_PARAMETERS angstrom
4.374 0.000 0.000
0.000 4.374 0.000
0.000 0.000 4.374
! Distance to the lowest polymorph of the same formula   0.00 eV/f.u.
! Formation energy from the elements   967 meV per atom
! Total moment   0.5 μB/cell
! Energy   -22.9 eV per formula unit

2.
! Li3Sc3SbO8, relaxed, DFT PBE; values from VASP
&SYSTEM
  ibrav = 0, nat = 15, ntyp = 4
/
ATOMIC_SPECIES
Li 6.94 Li.upf
Sc 44.96 Sc.upf
Sb 121.76 Sb.upf
O 16.00 O.upf
ATOMIC_POSITIONS crystal
Li 0.000 0.000 0.000
Li 0.000 0.500 0.000
Li 0.500 0.500 0.000
Sc 0.500 0.000 0.500
Sc 0.500 0.500 0.500
Sc 0.000 0.500 0.500
Sb 0.000 0.000 0.500
O 0.259 0.517 0.276
O 0.741 0.483 0.724
O 0.763 0.526 0.279
O 0.237 0.474 0.721
O 0.763 0.015 0.279
O 0.237 0.985 0.721
O 0.252 0.015 0.279
O 0.748 0.985 0.721
CELL_PARAMETERS angstrom
6.357 0.000 0.000
-3.179 5.504 -0.021
0.000 -3.654 5.003
! Total moment   0.0 μB/cell
! Formation energy without anion corrections   -2549 meV/atom
! Energy   -106.8 eV per formula unit

3.
! GaTcH2Os, relaxed, DFT PBE; values from VASP
&SYSTEM
  ibrav = 0, nat = 5, ntyp = 4
/
ATOMIC_SPECIES
H 1.01 H.upf
Os 190.23 Os.upf
Tc 98.00 Tc.upf
Ga 69.72 Ga.upf
ATOMIC_POSITIONS crystal
H 0.000 0.000 0.500
H 0.500 0.000 0.000
Os 0.000 0.000 0.000
Tc 0.500 0.500 0.500
Ga 0.000 0.500 0.000
CELL_PARAMETERS angstrom
3.514 0.000 0.000
0.000 4.883 0.000
0.000 0.000 3.514
! Total moment   2.2 μB/cell
! Energy   -27.2 eV per formula unit

4.
! Ca4TmPb5, relaxed, DFT PBE; values from VASP
&SYSTEM
  ibrav = 0, nat = 10, ntyp = 3
/
ATOMIC_SPECIES
Ca 40.08 Ca.upf
Tm 168.93 Tm.upf
Pb 207.20 Pb.upf
ATOMIC_POSITIONS crystal
Ca 0.000 0.000 0.198
Ca 0.000 0.000 0.398
Ca 0.000 0.000 0.602
Ca 0.000 0.000 0.802
Tm 0.000 0.000 0.000
Pb 0.500 0.500 0.095
Pb 0.500 0.500 0.298
Pb 0.500 0.500 0.500
Pb 0.500 0.500 0.702
Pb 0.500 0.500 0.905
CELL_PARAMETERS angstrom
3.596 0.000 0.000
0.000 3.596 0.000
0.000 0.000 22.826
! Formation energy from the elements   -487 meV per atom
! Total moment   0.0 μB/cell
! Energy   -35.9 eV per formula unit

5.
! LaPr8Er4, relaxed, DFT PBE; values from VASP
&SYSTEM
  ibrav = 0, nat = 13, ntyp = 3
/
ATOMIC_SPECIES
La 138.91 La.upf
Pr 140.91 Pr.upf
Er 167.26 Er.upf
ATOMIC_POSITIONS crystal
La 0.000 0.500 0.500
Pr 0.564 0.782 0.346
Pr 0.436 0.218 0.654
Pr 0.499 0.250 0.296
Pr 0.954 0.203 0.704
Pr 0.501 0.750 0.704
Pr 0.954 0.750 0.704
Pr 0.046 0.250 0.296
Pr 0.046 0.797 0.296
Er 0.000 0.000 0.000
Er 0.000 0.500 0.000
Er 0.500 0.500 0.000
Er 0.500 0.000 0.000
CELL_PARAMETERS angstrom
-1.774 7.186 0.652
-4.422 -4.586 -3.824
-2.199 -5.178 8.754
! Formation energy from the elements   166 meV per atom
! Total moment   0.0 μB/cell
! Energy   -59.3 eV per formula unit

6.
! ZnPb2F6, relaxed, DFT PBE; values from VASP
&SYSTEM
  ibrav = 0, nat = 18, ntyp = 3
/
ATOMIC_SPECIES
Zn 65.41 Zn.upf
Pb 207.20 Pb.upf
F 19.00 F.upf
ATOMIC_POSITIONS crystal
Zn 0.500 0.500 0.000
Zn 0.000 0.000 0.500
Pb 0.981 0.411 0.741
Pb 0.519 0.911 0.759
Pb 0.481 0.089 0.241
Pb 0.019 0.589 0.259
F 0.855 0.948 0.258
F 0.887 0.709 0.558
F 0.802 0.633 0.949
F 0.698 0.133 0.551
F 0.613 0.209 0.942
F 0.645 0.448 0.242
F 0.145 0.052 0.742
F 0.113 0.291 0.442
F 0.198 0.367 0.051
F 0.302 0.867 0.449
F 0.387 0.791 0.058
F 0.355 0.552 0.758
CELL_PARAMETERS angstrom
-3.928 -4.338 0.201
2.886 -2.855 -5.229
5.200 -3.498 4.780
! Distance to the lowest polymorph of the same formula   0.07 eV/f.u.
! Total moment   0.0 μB/cell
! Formation energy without anion corrections   -2346 meV/atom
! Energy   -41.0 eV per formula unit

7.
! HgBrCl3, relaxed, DFT PBE; values from VASP
&SYSTEM
  ibrav = 0, nat = 10, ntyp = 3
/
ATOMIC_SPECIES
Hg 200.59 Hg.upf
Br 79.90 Br.upf
Cl 35.45 Cl.upf
ATOMIC_POSITIONS crystal
Hg 0.733 0.195 0.977
Hg 0.267 0.805 0.023
Br 0.290 0.183 0.462
Br 0.710 0.817 0.538
Cl 0.545 0.341 0.183
Cl 0.455 0.659 0.817
Cl 0.072 0.009 0.189
Cl 0.928 0.991 0.811
Cl 0.365 0.351 0.772
Cl 0.635 0.649 0.228
CELL_PARAMETERS angstrom
-1.908 -3.543 -1.106
-1.453 -6.445 10.297
-7.791 -0.923 5.105
! Distance to the lowest polymorph of the same formula   0.00 eV/f.u.
! Total moment   0.0 μB/cell
! Formation energy without anion corrections   -348 meV/atom
! Energy   -9.3 eV per formula unit

8.
! Ba2InTe, relaxed, DFT PBE; values from VASP
&SYSTEM
  ibrav = 0, nat = 4, ntyp = 3
/
ATOMIC_SPECIES
Ba 137.33 Ba.upf
In 114.82 In.upf
Te 127.60 Te.upf
ATOMIC_POSITIONS crystal
Ba 0.000 0.000 0.989
Ba 0.000 0.000 0.511
In 0.500 0.500 0.250
Te 0.500 0.500 0.750
CELL_PARAMETERS angstrom
4.306 0.000 0.000
0.000 4.307 0.000
0.000 0.000 8.490
! Distance to the lowest polymorph of the same formula   0.00 eV/f.u.
! Total moment   0.0 μB/cell
! Formation energy without anion corrections   -931 meV/atom
! Energy   -13.4 eV per formula unit

9.
! MgScCuPb, relaxed, DFT PBE; values from VASP
&SYSTEM
  ibrav = 0, nat = 4, ntyp = 4
/
ATOMIC_SPECIES
Pb 207.20 Pb.upf
Sc 44.96 Sc.upf
Mg 24.30 Mg.upf
Cu 63.55 Cu.upf
ATOMIC_POSITIONS crystal
Pb 0.750 0.750 0.750
Sc 0.000 0.000 0.000
Mg 0.500 0.500 0.500
Cu 0.250 0.250 0.250
CELL_PARAMETERS angstrom
4.888 0.000 0.000
2.444 4.233 0.000
2.444 1.411 3.991
! Formation energy from the elements   -140 meV per atom
! Total moment   0.0 μB/cell
! Energy   -16.3 eV per formula unit

10.
! YSb3Se6, relaxed, DFT PBE; values from VASP
&SYSTEM
  ibrav = 0, nat = 20, ntyp = 3
/
ATOMIC_SPECIES
Y 88.91 Y.upf
Sb 121.76 Sb.upf
Se 78.96 Se.upf
ATOMIC_POSITIONS crystal
Y 0.750 0.032 0.688
Y 0.250 0.968 0.312
Sb 0.750 0.428 0.838
Sb 0.250 0.572 0.162
Sb 0.750 0.709 0.466
Sb 0.250 0.291 0.534
Sb 0.750 0.151 0.099
Sb 0.250 0.849 0.901
Se 0.750 0.451 0.621
Se 0.250 0.549 0.379
Se 0.750 0.942 0.118
Se 0.250 0.058 0.882
Se 0.750 0.421 0.102
Se 0.250 0.579 0.898
Se 0.750 0.779 0.277
Se 0.250 0.221 0.723
Se 0.750 0.103 0.467
Se 0.250 0.897 0.533
Se 0.750 0.802 0.746
Se 0.250 0.198 0.254
CELL_PARAMETERS angstrom
-2.605 1.912 2.391
-1.779 -10.397 6.377
9.186 5.565 5.559
! Total moment   0.0 μB/cell
! Formation energy without anion corrections   -664 meV/atom
! Energy   -46.4 eV per formula unit

11.
! ErCo10Mo2, relaxed, DFT PBE; values from VASP
&SYSTEM
  ibrav = 0, nat = 13, ntyp = 3
/
ATOMIC_SPECIES
Er 167.26 Er.upf
Co 58.93 Co.upf
Mo 95.94 Mo.upf
ATOMIC_POSITIONS crystal
Er 0.000 0.000 0.000
Co 0.791 0.500 0.291
Co 0.209 0.500 0.709
Co 0.781 0.281 0.500
Co 0.219 0.719 0.500
Co 0.000 0.500 0.000
Co 0.000 0.000 0.500
Co 0.500 0.000 0.000
Co 0.500 0.500 0.500
Co 0.359 0.000 0.359
Co 0.641 0.000 0.641
Mo 0.358 0.358 0.000
Mo 0.642 0.642 0.000
CELL_PARAMETERS angstrom
0.409 3.759 5.156
-4.917 2.960 -2.818
1.056 -5.587 2.924
! Formation energy from the elements   -43 meV per atom
! Total moment   12.6 μB/cell
! Energy   -97.8 eV per formula unit

12.
! MnInGeIr2, relaxed, DFT PBE; values from VASP
&SYSTEM
  ibrav = 0, nat = 5, ntyp = 4
/
ATOMIC_SPECIES
Ge 72.64 Ge.upf
Ir 192.22 Ir.upf
Mn 54.94 Mn.upf
In 114.82 In.upf
ATOMIC_POSITIONS crystal
Ge 0.500 0.500 0.500
Ir 0.000 0.000 0.500
Ir 0.500 0.000 0.000
Mn 0.000 0.500 0.000
In 0.000 0.000 0.000
CELL_PARAMETERS angstrom
4.891 0.000 0.000
0.000 4.698 0.000
0.000 0.000 4.891
! Formation energy from the elements   2062 meV per atom
! Total moment   0.3 μB/cell
! Energy   -23.9 eV per formula unit

13.
! TlSb2IBr, relaxed, DFT PBE; values from VASP
&SYSTEM
  ibrav = 0, nat = 5, ntyp = 4
/
ATOMIC_SPECIES
I 126.90 I.upf
Sb 121.76 Sb.upf
Tl 204.38 Tl.upf
Br 79.90 Br.upf
ATOMIC_POSITIONS crystal
I 0.000 0.500 0.000
Sb 0.000 0.000 0.500
Sb 0.500 0.000 0.000
Tl 0.500 0.500 0.500
Br 0.000 0.000 0.000
CELL_PARAMETERS angstrom
5.514 0.000 0.000
0.000 7.511 0.000
0.000 0.000 5.514
! Distance to the lowest polymorph of the same formula   0.00 eV/f.u.
! Total moment   2.1 μB/cell
! Formation energy without anion corrections   464 meV/atom
! Energy   -11.5 eV per formula unit

14.
! Li2CaRe, relaxed, DFT PBE; values from VASP
&SYSTEM
  ibrav = 0, nat = 4, ntyp = 3
/
ATOMIC_SPECIES
Ca 40.08 Ca.upf
Li 6.94 Li.upf
Re 186.21 Re.upf
ATOMIC_POSITIONS crystal
Ca 0.500 0.500 0.728
Li 0.000 0.000 0.025
Li 0.500 0.500 0.272
Re 0.000 0.000 0.475
CELL_PARAMETERS angstrom
-1.799 -1.846 -0.792
0.726 -2.373 3.883
-4.334 3.069 2.686
! Distance to the lowest polymorph of the same formula   0.39 eV/f.u.
! Formation energy from the elements   571 meV per atom
! Total moment   0.0 μB/cell
! Energy   -16.0 eV per formula unit

15.
! Nb2Ga2Ru, relaxed, DFT PBE; values from VASP
&SYSTEM
  ibrav = 0, nat = 10, ntyp = 3
/
ATOMIC_SPECIES
Ru 101.07 Ru.upf
Nb 92.91 Nb.upf
Ga 69.72 Ga.upf
ATOMIC_POSITIONS crystal
Ru 0.000 0.000 0.000
Ru 0.500 0.500 0.000
Nb 0.169 0.669 0.500
Nb 0.669 0.831 0.500
Nb 0.831 0.331 0.500
Nb 0.331 0.169 0.500
Ga 0.364 0.864 0.000
Ga 0.864 0.636 0.000
Ga 0.636 0.136 0.000
Ga 0.136 0.364 0.000
CELL_PARAMETERS angstrom
-0.684 6.434 -0.586
-5.829 -0.361 2.845
1.651 0.490 3.445
! Formation energy from the elements   -246 meV per atom
! Total moment   0.0 μB/cell
! Energy   -36.7 eV per formula unit

16.
! Nb4Zn2N, relaxed, DFT PBE; values from VASP
&SYSTEM
  ibrav = 0, nat = 28, ntyp = 3
/
ATOMIC_SPECIES
Nb 92.91 Nb.upf
Zn 65.41 Zn.upf
N 14.01 N.upf
ATOMIC_POSITIONS crystal
Nb 0.058 0.058 0.442
Nb 0.625 0.125 0.625
Nb 0.192 0.808 0.808
Nb 0.058 0.442 0.058
Nb 0.442 0.442 0.058
Nb 0.808 0.192 0.192
Nb 0.192 0.808 0.192
Nb 0.192 0.192 0.808
Nb 0.442 0.058 0.058
Nb 0.808 0.808 0.192
Nb 0.625 0.625 0.125
Nb 0.058 0.442 0.442
Nb 0.442 0.058 0.442
Nb 0.808 0.192 0.808
Nb 0.625 0.625 0.625
Nb 0.125 0.625 0.625
Zn 0.410 0.410 0.769
Zn 0.410 0.769 0.410
Zn 0.410 0.410 0.410
Zn 0.840 0.840 0.840
Zn 0.840 0.840 0.481
Zn 0.481 0.840 0.840
Zn 0.769 0.410 0.410
Zn 0.840 0.481 0.840
N 0.625 0.125 0.125
N 0.125 0.625 0.125
N 0.125 0.125 0.125
N 0.125 0.125 0.625
CELL_PARAMETERS angstrom
-7.856 2.764 -1.168
-4.468 -2.691 -6.597
-6.505 -5.201 1.167
! Total moment   0.0 μB/cell
! Formation energy without anion corrections   -388 meV/atom
! Energy   -53.9 eV per formula unit

17.
! HfTaV2, relaxed, DFT PBE; values from VASP
&SYSTEM
  ibrav = 0, nat = 4, ntyp = 3
/
ATOMIC_SPECIES
V 50.94 V.upf
Hf 178.49 Hf.upf
Ta 180.95 Ta.upf
ATOMIC_POSITIONS crystal
V 0.250 0.250 0.250
V 0.750 0.750 0.750
Hf 0.500 0.500 0.500
Ta 0.000 0.000 0.000
CELL_PARAMETERS angstrom
-4.275 -0.150 1.605
-3.197 -2.379 -2.235
-1.633 -3.873 1.790
! Distance to the lowest polymorph of the same formula   0.13 eV/f.u.
! Formation energy from the elements   120 meV per atom
! Total moment   2.3 μB/cell
! Energy   -39.6 eV per formula unit

18.
! Pm2CoGe6, relaxed, DFT PBE; values from VASP
&SYSTEM
  ibrav = 0, nat = 9, ntyp = 3
/
ATOMIC_SPECIES
Pm 145.00 Pm.upf
Co 58.93 Co.upf
Ge 72.64 Ge.upf
ATOMIC_POSITIONS crystal
Pm 0.819 0.667 0.667
Pm 0.181 0.333 0.333
Co 0.000 0.000 0.000
Ge 0.304 0.347 0.826
Ge 0.304 0.827 0.827
Ge 0.304 0.826 0.347
Ge 0.696 0.653 0.174
Ge 0.696 0.173 0.173
Ge 0.696 0.174 0.653
CELL_PARAMETERS angstrom
5.354 -0.027 -0.016
0.033 6.092 0.006
0.033 3.040 5.279
! Distance to the lowest polymorph of the same formula   0.55 eV/f.u.
! Formation energy from the elements   -429 meV per atom
! Total moment   0.0 μB/cell
! Energy   -48.2 eV per formula unit

19.
! PrMgNiRu, relaxed, DFT PBE; values from VASP
&SYSTEM
  ibrav = 0, nat = 4, ntyp = 4
/
ATOMIC_SPECIES
Pr 140.91 Pr.upf
Ru 101.07 Ru.upf
Mg 24.30 Mg.upf
Ni 58.69 Ni.upf
ATOMIC_POSITIONS crystal
Pr 0.500 0.500 0.500
Ru 0.250 0.250 0.250
Mg 0.000 0.000 0.000
Ni 0.750 0.750 0.750
CELL_PARAMETERS angstrom
4.710 0.000 0.000
2.355 4.079 0.000
2.355 1.360 3.846
! Formation energy from the elements   -19 meV per atom
! Total moment   0.0 μB/cell
! Energy   -21.5 eV per formula unit

20.
! Ba2Li5Pd12, relaxed, DFT PBE; values from VASP
&SYSTEM
  ibrav = 0, nat = 19, ntyp = 3
/
ATOMIC_SPECIES
Ba 137.33 Ba.upf
Li 6.94 Li.upf
Pd 106.42 Pd.upf
ATOMIC_POSITIONS crystal
Ba 0.651 0.651 0.651
Ba 0.349 0.349 0.349
Li 0.000 0.000 0.500
Li 0.000 0.500 0.000
Li 0.500 0.000 0.000
Li 0.908 0.908 0.908
Li 0.092 0.092 0.092
Pd 0.288 0.712 0.000
Pd 0.712 0.000 0.288
Pd 0.000 0.288 0.712
Pd 0.712 0.288 0.000
Pd 0.288 0.000 0.712
Pd 0.000 0.712 0.288
Pd 0.342 0.342 0.858
Pd 0.342 0.858 0.342
Pd 0.858 0.342 0.342
Pd 0.658 0.142 0.658
Pd 0.658 0.658 0.142
Pd 0.142 0.658 0.658
CELL_PARAMETERS angstrom
-1.857 -0.048 6.722
6.275 -1.793 2.459
2.113 6.504 1.368
! Formation energy from the elements   -388 meV per atom
! Total moment   0.0 μB/cell
! Energy   -83.1 eV per formula unit

21.
! NaNbC3, relaxed, DFT PBE; values from VASP
&SYSTEM
  ibrav = 0, nat = 5, ntyp = 3
/
ATOMIC_SPECIES
Na 22.99 Na.upf
Nb 92.91 Nb.upf
C 12.01 C.upf
ATOMIC_POSITIONS crystal
Na 0.000 0.000 0.000
Nb 0.500 0.500 0.500
C 0.000 0.500 0.000
C 0.000 0.000 0.500
C 0.500 0.000 0.000
CELL_PARAMETERS angstrom
-0.045 -0.458 3.891
-3.806 -0.919 -0.153
0.931 -3.781 -0.435
! Distance to the lowest polymorph of the same formula   8.23 eV/f.u.
! Formation energy from the elements   3231 meV per atom
! Total moment   0.0 μB/cell
! Energy   -22.9 eV per formula unit

22.
! Ac5Ge2AuN, relaxed, DFT PBE; values from VASP
&SYSTEM
  ibrav = 0, nat = 18, ntyp = 4
/
ATOMIC_SPECIES
Ac 227.00 Ac.upf
Ge 72.64 Ge.upf
Au 196.97 Au.upf
N 14.01 N.upf
ATOMIC_POSITIONS crystal
Ac 0.333 0.666 0.013
Ac 0.648 0.296 0.888
Ac 0.468 0.935 0.731
Ac 0.265 0.530 0.705
Ac 0.004 0.007 0.472
Ac 0.667 0.334 0.513
Ac 0.352 0.704 0.388
Ac 0.532 0.065 0.231
Ac 0.735 0.470 0.205
Ac 0.996 0.993 0.972
Ge 0.849 0.698 0.833
Ge 0.097 0.194 0.694
Ge 0.151 0.302 0.333
Ge 0.903 0.806 0.194
Au 0.841 0.682 0.577
Au 0.159 0.318 0.077
N 0.517 0.034 0.911
N 0.483 0.966 0.411
CELL_PARAMETERS angstrom
4.707 0.000 0.000
-2.354 9.403 0.000
0.000 0.000 12.543
! Total moment   0.0 μB/cell
! Formation energy without anion corrections   -752 meV/atom
! Energy   -48.1 eV per formula unit